Compound: PuZnFe2O6
Source: Alexandria
Functional: PBE with a Hubbard U
Structure: optimized geometry

Cell lengths 5.2773, 5.3170, 5.7058 Å; angles 117.23, 90.95, 119.00 degrees
With the nearest neighbours (Å) after each atom.
Space group P1 (No. 1)
Asymmetric unit:
Pu (0.0000, 0.0000, 0.0000)  6 O 2.06-2.12
Zn (0.4917, 0.9687, 0.4564)  4 O 2.03-2.17
Fe (0.2010, 0.4011, 0.6034)  4 O 2.03-2.24
Fe (0.6980, 0.3858, 0.0697)  6 O 2.07-2.23
O (0.0971, 0.8796, 0.2799)  1 Zn 2.03, 1 Fe 2.11, 1 Pu 2.11
O (0.2716, 0.8781, 0.7828)  1 Pu 2.06, 2 Fe 2.08-2.23
O (0.3988, 0.4852, 0.2715)  1 Zn 2.06, 2 Fe 2.10-2.29, 1 Pu 2.11
O (0.5994, 0.5044, 0.7909)  2 Fe 2.03-2.10, 1 Pu 2.12
O (0.7913, 0.1935, 0.2786)  1 Zn 2.07, 2 Fe 2.07-2.24, 1 Pu 2.11
O (0.8854, 0.1794, 0.7798)  2 Fe 2.09-2.10, 1 Pu 2.12, 1 Zn 2.17

V: 11.85 Å³ per atom
DFT total energy: -73.341 eV for the cell shown
D(E_F): 6.234 states/eV per cell